This record from the Alexandria database describes an optimized crystal structure of Pr2Se2Cl. The functional is PBE-GGA.

Results
final energy: -112.11 eV/cell
energy above the most stable polymorph in this dataset: 0.0 meV per atom

a b c (Å): 13.472 5.940 8.546
angles (deg): 90.00 111.54 90.00
Space group C2/m (No. 12)
Inequivalent atoms, fractional coordinates:
1 Pr 0.010 0.000 0.248 [4 per cell]
2 Pr 0.165 0.500 0.078 [4 per cell]
3 Se 0.011 0.500 0.255 [4 per cell]
4 Se 0.171 0.000 0.090 [4 per cell]
5 Cl 0.151 0.000 0.600 [4 per cell]



This record from the Alexandria database describes an optimized crystal structure of Pr3Se2Cl. The functional is PBE-GGA.

Results
final energy: -66.09 eV/cell
energy above the most stable polymorph in this dataset: 16.8 meV per atom

a b c (Å): 4.0889 4.0889 22.4940
angles (deg): 90.00 90.00 120.00
Space group P6_3/mmc (No. 194)
Inequivalent atoms, fractional coordinates:
1 Pr 0.0000 0.0000 0.0000 [2 per cell]
2 Pr 0.3333 0.6667 0.1589 [4 per cell]
3 Se 0.3333 0.6667 0.5811 [4 per cell]
4 Cl 0.0000 0.0000 0.2500 [2 per cell]



This record from the Alexandria database describes an optimized crystal structure of PrSeCl. The functional is PBE-GGA.

Results
final energy: -64.48 eV/cell
energy above the most stable polymorph in this dataset: 35.0 meV per atom

a b c (Å): 7.003 7.003 7.003
angles (deg): 90.00 90.00 90.00
Space group F-43m (No. 216)
Inequivalent atoms, fractional coordinates:
1 Pr 0.000 0.000 0.000 [4 per cell]
2 Se 0.250 0.250 0.250 [4 per cell]
3 Cl 0.250 0.250 0.750 [4 per cell]



This record from the Alexandria database describes an optimized crystal structure of Pr8Si3SeCl4. The functional is PBE-GGA.

Results
final energy: -259.44 eV/cell

a b c (Å): 8.5360 8.5360 21.0537
angles (deg): 90.00 90.00 120.00
Space group R-3m (No. 166, hexagonal axes)
Inequivalent atoms, fractional coordinates:
1 Pr 0.0000 0.0000 0.2415 [6 per cell]
2 Pr 0.0113 0.5057 0.7587 [18 per cell]
3 Si 0.0000 0.5000 0.5000 [9 per cell]
4 Se 0.0000 0.0000 0.5000 [3 per cell]
5 Cl 0.0000 0.0000 0.0000 [3 per cell]
6 Cl 0.0000 0.5000 0.0000 [9 per cell]



This record from the Alexandria database describes an optimized crystal structure of Pr3SiSeCl. The functional is PBE-GGA.

Results
final energy: -65.20 eV/cell

a b c (Å): 8.690 4.231 10.310
angles (deg): 90.00 91.74 90.00
Space group P2_1/m (No. 11)
Inequivalent atoms, fractional coordinates:
1 Pr 0.118 0.250 0.355 [2 per cell]
2 Pr 0.162 0.250 0.922 [2 per cell]
3 Pr 0.371 0.750 0.637 [2 per cell]
4 Si 0.128 0.250 0.646 [2 per cell]
5 Se 0.373 0.750 0.345 [2 per cell]
6 Cl 0.377 0.750 0.920 [2 per cell]



This record from the Alexandria database describes an optimized crystal structure of Pr8SiSe4Cl3. The functional is PBE-GGA.

Results
final energy: -264.63 eV/cell

a b c (Å): 8.5960 8.5960 20.3963
angles (deg): 90.00 90.00 120.00
Space group R-3m (No. 166, hexagonal axes)
Inequivalent atoms, fractional coordinates:
1 Pr 0.0000 0.0000 0.2420 [6 per cell]
2 Pr 0.0192 0.5096 0.7517 [18 per cell]
3 Si 0.0000 0.0000 0.0000 [3 per cell]
4 Se 0.0000 0.0000 0.5000 [3 per cell]
5 Se 0.0000 0.5000 0.5000 [9 per cell]
6 Cl 0.0000 0.5000 0.0000 [9 per cell]



This record from the Alexandria database describes an optimized crystal structure of Pr4SiSe2Cl. The functional is PBE-GGA.

Results
final energy: -45.49 eV/cell

a b c (Å): 7.345 4.249 7.460
angles (deg): 90.00 108.99 90.00
Space group P2/m (No. 10)
Inequivalent atoms, fractional coordinates:
1 Pr 0.241 0.000 0.234 [2 per cell]
2 Pr 0.254 0.500 0.771 [2 per cell]
3 Si 0.000 0.500 0.000 [1 per cell]
4 Se 0.500 0.000 0.000 [1 per cell]
5 Se 0.500 0.500 0.500 [1 per cell]
6 Cl 0.000 0.000 0.500 [1 per cell]



This record from the Alexandria database describes an optimized crystal structure of PrSmSe2Cl. The functional is PBE-GGA.

Results
final energy: -55.78 eV/cell

a b c (Å): 4.229 4.229 14.259
angles (deg): 90.00 90.00 90.00
Space group P4/nmm (No. 129, origin choice 2)
Inequivalent atoms, fractional coordinates:
1 Pr 0.250 0.250 0.146 [2 per cell]
2 Sm 0.250 0.250 0.591 [2 per cell]
3 Se 0.250 0.250 0.381 [2 per cell]
4 Se 0.250 0.250 0.798 [2 per cell]
5 Cl 0.250 0.750 0.000 [2 per cell]



This record from the Alexandria database describes an optimized crystal structure of Pr3SnSeCl. The functional is PBE-GGA.

Results
final energy: -63.47 eV/cell

a b c (Å): 8.744 4.272 10.255
angles (deg): 90.00 106.96 90.00
Space group P2_1/m (No. 11)
Inequivalent atoms, fractional coordinates:
1 Pr 0.168 0.250 0.167 [2 per cell]
2 Pr 0.329 0.750 0.516 [2 per cell]
3 Pr 0.330 0.750 0.899 [2 per cell]
4 Sn 0.466 0.750 0.245 [2 per cell]
5 Se 0.086 0.250 0.864 [2 per cell]
6 Cl 0.105 0.250 0.430 [2 per cell]



This record from the Alexandria database describes an optimized crystal structure of Pr4SnSe2Cl. The functional is PBE-GGA.

Results
final energy: -174.92 eV/cell

a b c (Å): 8.648 8.748 12.283
angles (deg): 90.00 90.00 90.00
Space group Imma (No. 74)
Inequivalent atoms, fractional coordinates:
1 Pr 0.000 0.018 0.247 [8 per cell]
2 Pr 0.242 0.250 0.007 [8 per cell]
3 Sn 0.000 0.000 0.500 [4 per cell]
4 Se 0.000 0.000 0.000 [4 per cell]
5 Se 0.250 0.250 0.250 [4 per cell]
6 Cl 0.250 0.250 0.750 [4 per cell]



This record from the Alexandria database describes an optimized crystal structure of Pr8Te4Se3Cl. The functional is PBE-GGA.

Results
final energy: -265.16 eV/cell

a b c (Å): 8.8000 8.8000 21.4245
angles (deg): 90.00 90.00 120.00
Space group R-3m (No. 166, hexagonal axes)
Inequivalent atoms, fractional coordinates:
1 Pr 0.0000 0.0000 0.2389 [6 per cell]
2 Pr 0.0061 0.5031 0.7603 [18 per cell]
3 Te 0.0000 0.0000 0.0000 [3 per cell]
4 Te 0.0000 0.5000 0.0000 [9 per cell]
5 Se 0.0000 0.5000 0.5000 [9 per cell]
6 Cl 0.0000 0.0000 0.5000 [3 per cell]



This record from the Alexandria database describes an optimized crystal structure of Pr3TlSeCl. The functional is PBE-GGA.

Results
final energy: -58.38 eV/cell

a b c (Å): 9.112 4.148 10.317
angles (deg): 90.00 106.01 90.00
Space group P2_1/m (No. 11)
Inequivalent atoms, fractional coordinates:
1 Pr 0.150 0.250 0.164 [2 per cell]
2 Pr 0.330 0.750 0.902 [2 per cell]
3 Pr 0.334 0.750 0.513 [2 per cell]
4 Tl 0.454 0.750 0.241 [2 per cell]
5 Se 0.092 0.250 0.862 [2 per cell]
6 Cl 0.116 0.250 0.437 [2 per cell]



This record from the Alexandria database describes an optimized crystal structure of PrYSe2Cl. The functional is PBE-GGA.

Results
final energy: -59.06 eV/cell

a b c (Å): 4.197 4.197 14.156
angles (deg): 90.00 90.00 90.00
Space group P4/nmm (No. 129, origin choice 2)
Inequivalent atoms, fractional coordinates:
1 Pr 0.250 0.250 0.147 [2 per cell]
2 Y 0.250 0.250 0.590 [2 per cell]
3 Se 0.250 0.250 0.384 [2 per cell]
4 Se 0.250 0.250 0.794 [2 per cell]
5 Cl 0.250 0.750 0.000 [2 per cell]



This record from the Alexandria database describes an optimized crystal structure of Pr4ZnSeCl2. The functional is PBE-GGA.

Results
final energy: -37.47 eV/cell

a b c (Å): 7.063 4.115 7.772
angles (deg): 90.00 108.66 90.00
Space group P2/m (No. 10)
Inequivalent atoms, fractional coordinates:
1 Pr 0.244 0.000 0.257 [2 per cell]
2 Pr 0.247 0.500 0.741 [2 per cell]
3 Zn 0.000 0.000 0.500 [1 per cell]
4 Se 0.000 0.500 0.000 [1 per cell]
5 Cl 0.500 0.000 0.000 [1 per cell]
6 Cl 0.500 0.500 0.500 [1 per cell]



This record from the Alexandria database describes an optimized crystal structure of Pr3SiCl2. The functional is PBE-GGA.

Results
final energy: -62.15 eV/cell
energy above the most stable polymorph in this dataset: 7.6 meV per atom

a b c (Å): 4.324 5.886 12.487
angles (deg): 90.00 90.00 90.00
Space group Immm (No. 71)
Inequivalent atoms, fractional coordinates:
1 Pr 0.000 0.000 0.000 [2 per cell]
2 Pr 0.000 0.000 0.346 [4 per cell]
3 Si 0.000 0.500 0.000 [2 per cell]
4 Cl 0.000 0.500 0.335 [4 per cell]



This record from the Alexandria database describes an optimized crystal structure of Pr5Si2Cl2. The functional is PBE-GGA.

Results
final energy: -187.72 eV/cell

a b c (Å): 15.131 7.883 7.859
angles (deg): 90.00 90.00 90.00
Space group Cmce (No. 64)
Inequivalent atoms, fractional coordinates:
1 Pr 0.000 0.000 0.000 [4 per cell]
2 Pr 0.133 0.169 0.337 [16 per cell]
3 Si 0.000 0.125 0.624 [8 per cell]
4 Cl 0.195 0.000 0.000 [8 per cell]



This record from the Alexandria database describes an optimized crystal structure of Pr4Si2Cl3. The functional is PBE-GGA.

Results
final energy: -96.08 eV/cell

a b c (Å): 7.383 4.263 17.305
angles (deg): 90.00 90.07 90.00
Space group C2/m (No. 12)
Inequivalent atoms, fractional coordinates:
1 Pr 0.001 0.000 0.302 [4 per cell]
2 Pr 0.166 0.500 0.889 [4 per cell]
3 Si 0.167 0.500 0.203 [4 per cell]
4 Cl 0.000 0.000 0.000 [2 per cell]
5 Cl 0.166 0.500 0.605 [4 per cell]



This record from the Alexandria database describes an optimized crystal structure of Pr4SiCl4. The functional is PBE-GGA.

Results
final energy: -92.17 eV/cell

a b c (Å): 13.555 4.159 10.768
angles (deg): 90.00 121.91 90.00
Space group C2/m (No. 12)
Inequivalent atoms, fractional coordinates:
1 Pr 0.100 0.000 0.417 [4 per cell]
2 Pr 0.197 0.500 0.780 [4 per cell]
3 Si 0.000 0.500 0.500 [2 per cell]
4 Cl 0.109 0.000 0.890 [4 per cell]
5 Cl 0.176 0.500 0.267 [4 per cell]



This record from the Alexandria database describes an optimized crystal structure of Pr3SiCl3. The functional is PBE-GGA.

Results
final energy: -293.61 eV/cell

a b c (Å): 11.835 11.835 11.835
angles (deg): 90.00 90.00 90.00
Space group I4_132 (No. 214)
Inequivalent atoms, fractional coordinates:
1 Pr 0.118 0.368 0.125 [24 per cell]
2 Si 0.125 0.125 0.125 [8 per cell]
3 Cl 0.125 0.125 0.625 [24 per cell]



This record from the Alexandria database describes an optimized crystal structure of Pr3SiCl2. The functional is PBE-GGA.

Results
final energy: -124.48 eV/cell
energy above the most stable polymorph in this dataset: 0.0 meV per atom

a b c (Å): 7.328 12.714 7.355
angles (deg): 90.00 109.45 90.00
Space group C2/m (No. 12)
Inequivalent atoms, fractional coordinates:
1 Pr 0.231 0.000 0.227 [4 per cell]
2 Pr 0.249 0.327 0.228 [8 per cell]
3 Si 0.000 0.166 0.000 [4 per cell]
4 Cl 0.000 0.000 0.500 [2 per cell]
5 Cl 0.000 0.331 0.500 [4 per cell]
6 Cl 0.000 0.500 0.000 [2 per cell]



Computed values of E_form (uncorrected) (unit: eV/f.u.) for the preceding records, in sequence: -9.65 -9.89 -6.01 -21.10 -7.51 -25.07 -12.13 -9.57 -8.06 -11.79 -25.28 -7.15 -9.47 -9.90 -7.62 -8.49 -12.54 -14.16 -11.40 -7.66.